No. 1
VASP calculation (PBE-GGA) on an optimized crystal structure of Tm3ThSc3.

a = 6.571 Å, b = 6.571 Å, c = 9.723 Å
α = 93.29°, β = 93.29°, γ = 104.29°
Fractional coordinates of all 14 atoms:
Tm 0.625 0.625 0.357
Tm 0.158 0.842 0.500
Tm 0.842 0.158 0.500
Tm 0.229 0.771 0.000
Tm 0.771 0.229 0.000
Tm 0.375 0.375 0.643
Th 0.698 0.698 0.969
Th 0.302 0.302 0.031
Sc 0.988 0.988 0.219
Sc 0.920 0.513 0.725
Sc 0.513 0.920 0.725
Sc 0.080 0.487 0.275
Sc 0.487 0.080 0.275
Sc 0.012 0.012 0.781

Summary:
For the energy relative to the elements, the calculation gives 0.217 eV per atom. For the size of the total moment, the calculation gives 0.0 μB per cell. Its crystal system is monoclinic. The density of states at the Fermi level comes out at 18.6 states/eV/cell. The relative energy among the computed polymorphs comes out at 191.4 meV per atom. Its space group is C2/m (12).

=====

No. 2
VASP calculation (PBE-GGA) on an optimized crystal structure of NaCa2TaSe.

a = 5.697 Å, b = 4.885 Å, c = 5.697 Å
α = 90.00°, β = 90.00°, γ = 90.00°
Fractional coordinates of all 5 atoms:
Na 0.500 0.500 0.500
Ca 0.000 0.000 0.500
Ca 0.500 0.000 0.000
Se 0.000 0.000 0.000
Ta 0.000 0.500 0.000

Summary:
For the size of the total moment, the calculation gives 2.7 μB per cell. Its formation energy without anion corrections is 0.14 eV/atom. Its crystal system is tetragonal. The density of states at the Fermi level comes out at 6.1 states/eV/cell. Its space group is P4/mmm (123).

=====

No. 3
VASP calculation (PBE-GGA) on an optimized crystal structure of Cd8Pb.

a = 7.182 Å, b = 7.182 Å, c = 7.182 Å
α = 95.99°, β = 95.99°, γ = 142.30°
Fractional coordinates of all 9 atoms:
Cd 0.328 0.672 0.000
Cd 0.672 0.328 0.000
Cd 0.000 0.339 0.339
Cd 0.672 0.672 0.344
Cd 0.339 0.000 0.339
Cd 0.328 0.328 0.656
Cd 0.000 0.661 0.661
Cd 0.661 0.000 0.661
Pb 0.000 0.000 0.000

Summary:
For the energy relative to the elements, the calculation gives 0.025 eV per atom. For the size of the total moment, the calculation gives 0.0 μB per cell. Its crystal system is tetragonal. The density of states at the Fermi level comes out at 2.5 states/eV/cell. The relative energy among the computed polymorphs comes out at 0.0 meV per atom. Its space group is I4/mmm (139).

=====

No. 4
VASP calculation (PBE-GGA) on an optimized crystal structure of Si4NiHg.

a = 5.150 Å, b = 5.150 Å, c = 5.150 Å
α = 60.00°, β = 60.00°, γ = 60.00°
Fractional coordinates of all 6 atoms:
Si 0.878 0.374 0.374
Si 0.374 0.374 0.878
Si 0.374 0.878 0.374
Si 0.374 0.374 0.374
Ni 0.000 0.000 0.000
Hg 0.750 0.750 0.750

Summary:
For the size of the total moment, the calculation gives 0.0 μB per cell. Its formation energy without anion corrections is 0.61 eV/atom. Its crystal system is cubic. The density of states at the Fermi level comes out at 3.4 states/eV/cell. Its space group is F-43m (216).

=====

No. 5
VASP calculation (PBE-GGA) on an optimized crystal structure of ZrPt2Cl.

a = 4.635 Å, b = 4.635 Å, c = 4.635 Å
α = 120.03°, β = 120.03°, γ = 89.95°
Fractional coordinates of all 4 atoms:
Cl 0.750 0.250 0.500
Pt 0.000 0.000 0.000
Pt 0.250 0.750 0.500
Zr 0.500 0.500 0.000

Summary:
For the size of the total moment, the calculation gives 0.0 μB per cell. Its formation energy without anion corrections is -0.42 eV/atom. Its crystal system is cubic. The density of states at the Fermi level comes out at 3.2 states/eV/cell. The relative energy among the computed polymorphs comes out at 237.3 meV per atom. Its space group is F-43m (216).

=====

No. 6
VASP calculation (PBE-GGA) on an optimized crystal structure of Cs2GaSbI6.

a = 8.718 Å, b = 8.718 Å, c = 8.714 Å
α = 59.98°, β = 59.98°, γ = 90.00°
Fractional coordinates of all 10 atoms:
Cs 0.750 0.250 0.500
Cs 0.250 0.750 0.500
I 0.247 0.247 0.506
I 0.753 0.753 0.494
I 0.247 0.247 0.000
I 0.753 0.753 0.000
I 0.753 0.247 0.000
I 0.247 0.753 0.000
Ga 0.500 0.500 0.000
Sb 0.000 0.000 0.000

Summary:
For the size of the total moment, the calculation gives 0.0 μB per cell. Its formation energy without anion corrections is -0.86 eV/atom. Its crystal system is tetragonal. The density of states at the Fermi level comes out at 0.0 states/eV/cell. Its space group is I4/mmm (139).

=====

No. 7
VASP calculation (PBE-GGA) on an optimized crystal structure of Rb3Tb2PmSe6.

a = 7.429 Å, b = 7.429 Å, c = 8.381 Å
α = 98.50°, β = 98.50°, γ = 120.00°
Fractional coordinates of all 12 atoms:
Rb 0.166 0.834 0.500
Rb 0.834 0.166 0.500
Rb 0.500 0.500 0.500
Tb 0.333 0.667 0.000
Tb 0.667 0.333 0.000
Pm 0.000 0.000 0.000
Se 0.934 0.596 0.802
Se 0.727 0.727 0.197
Se 0.066 0.404 0.198
Se 0.596 0.934 0.802
Se 0.273 0.273 0.803
Se 0.404 0.066 0.198

Summary:
For the size of the total moment, the calculation gives 0.0 μB per cell. Its formation energy without anion corrections is -1.74 eV/atom. Its crystal system is monoclinic. The density of states at the Fermi level comes out at 0.0 states/eV/cell. Its space group is C2/m (12).

=====

No. 8
VASP calculation (PBE-GGA) on an optimized crystal structure of ZrInS2Cl.

a = 5.034 Å, b = 5.034 Å, c = 5.147 Å
α = 90.00°, β = 90.00°, γ = 90.00°
Fractional coordinates of all 5 atoms:
S 0.000 0.500 0.000
S 0.500 0.000 0.000
Cl 0.000 0.000 0.500
Zr 0.000 0.000 0.000
In 0.500 0.500 0.500

Summary:
For the size of the total moment, the calculation gives 0.0 μB per cell. Its formation energy without anion corrections is -1.05 eV/atom. Its crystal system is tetragonal. The density of states at the Fermi level comes out at 0.5 states/eV/cell. The relative energy among the computed polymorphs comes out at 0.0 meV per atom. Its space group is P4/mmm (123).

=====

No. 9
VASP calculation (PBE-GGA) on an optimized crystal structure of LiTc2Se.

a = 3.137 Å, b = 3.137 Å, c = 5.758 Å
α = 90.00°, β = 90.00°, γ = 90.00°
Fractional coordinates of all 4 atoms:
Li 0.000 0.000 0.513
Se 0.500 0.500 0.715
Tc 0.000 0.000 0.012
Tc 0.500 0.500 0.260

Summary:
For the size of the total moment, the calculation gives 0.0 μB per cell. Its formation energy without anion corrections is -0.02 eV/atom. Its crystal system is tetragonal. The density of states at the Fermi level comes out at 3.7 states/eV/cell. Its space group is P4mm (99).

=====

No. 10
VASP calculation (PBE-GGA) on an optimized crystal structure of Pa2AgBi2N2.

a = 3.827 Å, b = 3.827 Å, c = 13.602 Å
α = 90.00°, β = 90.00°, γ = 120.00°
Fractional coordinates of all 7 atoms:
Pa 0.667 0.333 0.395
Pa 0.333 0.667 0.605
Ag 0.000 0.000 0.000
Bi 0.000 0.000 0.797
Bi 0.000 0.000 0.203
N 0.667 0.333 0.563
N 0.333 0.667 0.437

Summary:
For the size of the total moment, the calculation gives 0.7 μB per cell. Its formation energy without anion corrections is -0.78 eV/atom. Its crystal system is trigonal. The density of states at the Fermi level comes out at 5.8 states/eV/cell. Its space group is P-3m1 (164).

=====

No. 11
VASP calculation (PBE-GGA) on an optimized crystal structure of Cs3La2TmSe6.

a = 7.631 Å, b = 7.631 Å, c = 8.757 Å
α = 98.36°, β = 98.36°, γ = 119.99°
Fractional coordinates of all 12 atoms:
Cs 0.169 0.831 0.500
Cs 0.831 0.169 0.500
Cs 0.500 0.500 0.500
La 0.334 0.666 0.000
La 0.666 0.334 0.000
Tm 0.000 0.000 0.000
Se 0.937 0.618 0.812
Se 0.744 0.744 0.189
Se 0.063 0.382 0.188
Se 0.618 0.937 0.812
Se 0.256 0.256 0.811
Se 0.382 0.063 0.188

Summary:
For the size of the total moment, the calculation gives 0.0 μB per cell. Its formation energy without anion corrections is -1.77 eV/atom. Its crystal system is monoclinic. The density of states at the Fermi level comes out at 0.0 states/eV/cell. Its space group is C2/m (12).

=====

No. 12
VASP calculation (PBE-GGA) on an optimized crystal structure of TlN2F3.

a = 4.389 Å, b = 6.959 Å, c = 10.216 Å
α = 97.09°, β = 102.41°, γ = 90.00°
Fractional coordinates of all 12 atoms:
Tl 0.000 0.250 0.000
Tl 0.000 0.750 0.000
N 0.318 0.401 0.635
N 0.318 0.901 0.635
N 0.682 0.099 0.365
N 0.682 0.599 0.365
F 0.500 0.750 0.000
F 0.500 0.250 0.000
F 0.931 0.975 0.861
F 0.069 0.525 0.139
F 0.931 0.475 0.861
F 0.069 0.025 0.139

Summary:
For the size of the total moment, the calculation gives 12.0 μB per cell. Its formation energy without anion corrections is 0.56 eV/atom. Its crystal system is monoclinic. Its space group is C2/m (12).

=====

- Look up the size of the total moment of the tenth one.
  0.7 μB per cell